[1]
Material: Hg3SeO6
Method: DFT, PBE
State: relaxed

Output
For the energy above the most stable polymorph in this dataset, the calculation gives 0 meV per atom. As for the uncorrected formation energy: -0.4597 eV per atom.

Unit cell a=7.2535 b=7.2535 c=11.0321 alpha=90.00 beta=90.00 gamma=120.00
Space group P3_1 (No. 144)
Inequivalent atoms, fractional coordinates:
Hg 0.0268 0.1675 0.0000 x3
Hg 0.0397 0.6697 0.9975 x3
Hg 0.5284 0.1691 0.9825 x3
Se 0.1106 0.4311 0.6522 x3
O 0.0009 0.1910 0.2843 x3
O 0.0094 0.2380 0.7581 x3
O 0.1121 0.7092 0.2372 x3
O 0.2173 0.6679 0.7210 x3
O 0.4765 0.1390 0.7007 x3
O 0.4815 0.0865 0.2233 x3

***

[2]
Material: BaCuPH
Method: DFT, PBE
State: relaxed

Output
The raw total energy is -4.162 eV/atom.

Unit cell a=4.1724 b=4.1724 c=4.9906 alpha=90.00 beta=90.00 gamma=120.00
Space group P3m1 (No. 156)
Inequivalent atoms, fractional coordinates:
Ba 0.0000 0.0000 0.0000 x1
Cu 0.6667 0.3333 0.5199 x1
P 0.3333 0.6667 0.4714 x1
H 0.6667 0.3333 0.8443 x1

***

[3]
Material: HgSeCl2
Method: DFT, PBE
State: relaxed

Output
For the energy above the most stable polymorph in this dataset, the calculation gives 637 meV per atom. As for the uncorrected formation energy: 0.3565 eV per atom.

Unit cell a=6.3646 b=8.3534 c=3.3645 alpha=90.00 beta=90.00 gamma=90.00
Space group Cmmm (No. 65)
Inequivalent atoms, fractional coordinates:
Hg 0.0000 0.0000 0.0000 x2
Se 0.0000 0.5000 0.0000 x2
Cl 0.2500 0.2500 0.5000 x4

***

[4]
Material: PrSn3Rh
Method: DFT, PBE
State: relaxed

Output
The calculation puts the energy of formation at -441 meV per atom.

Unit cell a=4.7938 b=4.7938 c=5.5574 alpha=90.00 beta=90.00 gamma=90.00
Space group P4mm (No. 99)
Inequivalent atoms, fractional coordinates:
Pr 0.0000 0.0000 0.0000 x1
Sn 0.0000 0.5000 0.4712 x2
Sn 0.5000 0.5000 0.8109 x1
Rh 0.5000 0.5000 0.2651 x1

***

[5]
Material: CaCuTe2
Method: DFT, PBE
State: relaxed

Output
As for the uncorrected formation energy: -0.5253 eV per atom.

Unit cell a=4.2450 b=4.2450 c=25.1880 alpha=90.00 beta=90.00 gamma=120.00
Space group R3m (No. 160, hexagonal axes)
Inequivalent atoms, fractional coordinates:
Ca 0.0000 0.0000 0.0000 x3
Cu 0.0000 0.0000 0.7515 x3
Te 0.0000 0.0000 0.2534 x3
Te 0.0000 0.0000 0.4323 x3

***

[6]
Material: CsLaHRhS
Method: DFT, PBE
State: relaxed

Output
For the energy above the most stable polymorph in this dataset, the calculation gives 46 meV per atom.

Unit cell a=4.4838 b=4.4851 c=8.5314 alpha=104.99 beta=90.14 gamma=119.93
Space group P1 (No. 1)
Inequivalent atoms, fractional coordinates:
Cs 0.0000 0.0000 0.0000 x1
La 0.1725 0.3498 0.5179 x1
H 0.3957 0.7887 0.1869 x1
Rh 0.4632 0.9266 0.3894 x1
S 0.5656 0.1356 0.6966 x1